Entry 1:
This record from the Alexandria database describes BaSiN2 after structural relaxation. The functional is PBE-GGA.

Geometry as POSCAR:
```
BaSiN2
1.0
5.2038 -2.9133 0.0000
5.2038 2.9133 0.0000
-0.0135 0.0000 4.7476
Ba Si N
2 2 4
Direct
0.1795 0.1795 0.2504 Ba
0.8205 0.8205 0.7496 Ba
0.5798 0.4202 0.0000 Si
0.5799 0.4201 0.5000 Si
0.3390 0.4715 0.7492 N
0.5285 0.6610 0.2508 N
0.6606 0.1678 0.2495 N
0.8322 0.3394 0.7505 N
```

Calculated values
calculated total energy	-56.2	eV for the cell shown
total magnetic moment	0.00	μB per cell
V	17.993	Å³/atom
symmetry	C2, No. 5

Entry 2:
This record from the Alexandria database describes BaSmSiN3 after structural relaxation. The functional is PBE-GGA.

Geometry as POSCAR:
```
BaSmSiN3
1.0
6.4525 -1.9322 0.0000
6.4525 1.9322 0.0000
-2.2604 0.0000 7.4967
Ba Sm Si N
2 2 2 6
Direct
0.1438 0.1438 0.0719 Ba
0.8562 0.8562 0.9281 Ba
0.1509 0.1509 0.5734 Sm
0.8491 0.8491 0.4266 Sm
0.4965 0.4965 0.7162 Si
0.5035 0.5035 0.2838 Si
0.0037 0.0037 0.2963 N
0.3504 0.3504 0.6489 N
0.3589 0.3589 0.2131 N
0.6411 0.6411 0.7869 N
0.6496 0.6496 0.3511 N
0.9963 0.9963 0.7037 N
```

Calculated values
calculated total energy	-83.6	eV for the cell shown
total magnetic moment	0.00	μB per cell
V	15.578	Å³/atom
symmetry	C2/m, No. 12

Entry 3:
This record from the Alexandria database describes BaSr2SiN after structural relaxation. The functional is PBE-GGA.

Geometry as POSCAR:
```
BaSr2SiN
1.0
6.5090 0.0000 0.0000
0.0000 6.5090 0.0000
0.0000 0.0000 4.3445
Ba Sr Si N
1 2 1 1
Direct
0.0000 0.0000 0.0000 Ba
0.0000 0.5000 0.0000 Sr
0.5000 0.0000 0.0000 Sr
0.5000 0.5000 0.5000 Si
0.0000 0.0000 0.5000 N
```

Calculated values
calculated total energy	-14.1	eV for the cell shown
total magnetic moment	0.00	μB per cell
V	36.812	Å³/atom
symmetry	P4/mmm, No. 123

Entry 4:
This record from the Alexandria database describes Ba3TaSi2N6 after structural relaxation. The functional is PBE-GGA.

Geometry as POSCAR:
```
Ba3TaSi2N6
1.0
5.8559 0.0000 0.0000
-2.9280 5.0714 0.0000
0.0000 0.0000 7.1311
Ba Ta Si N
3 1 2 6
Direct
0.0000 0.0000 0.0000 Ba
0.3333 0.6667 0.6960 Ba
0.6667 0.3333 0.3040 Ba
0.0000 0.0000 0.5000 Ta
0.3333 0.6667 0.2792 Si
0.6667 0.3333 0.7208 Si
0.1691 0.3382 0.3234 N
0.1691 0.8309 0.3234 N
0.3382 0.1691 0.6766 N
0.6618 0.8309 0.3234 N
0.8309 0.1691 0.6766 N
0.8309 0.6618 0.6766 N
```

Calculated values
calculated total energy	-88.7	eV for the cell shown
total magnetic moment	0.02	μB per cell
V	17.648	Å³/atom
symmetry	P-3m1, No. 164

Entry 5:
This record from the Alexandria database describes Ba2TaSi2N6 after structural relaxation. The functional is PBE-GGA.

Geometry as POSCAR:
```
Ba2TaSi2N6
1.0
2.8946 1.6712 5.7803
-2.8946 1.6712 5.7803
0.0000 -3.3424 5.7803
Ba Ta Si N
2 1 2 6
Direct
0.2156 0.2156 0.2156 Ba
0.7844 0.7844 0.7844 Ba
0.0000 0.0000 0.0000 Ta
0.4088 0.4088 0.4088 Si
0.5912 0.5912 0.5912 Si
0.2401 0.2401 0.7393 N
0.2401 0.7393 0.2401 N
0.2607 0.7599 0.7599 N
0.7393 0.2401 0.2401 N
0.7599 0.2607 0.7599 N
0.7599 0.7599 0.2607 N
```

Calculated values
calculated total energy	-85.2	eV for the cell shown
total magnetic moment	0.00	μB per cell
V	15.252	Å³/atom
symmetry	R-3m, No. 166

Entry 6:
This record from the Alexandria database describes BaTb2SiN4 after structural relaxation. The functional is PBE-GGA.

Geometry as POSCAR:
```
BaTb2SiN4
1.0
1.7070 -6.1411 0.0000
1.7070 6.1411 0.0000
0.0000 0.0000 11.7315
Ba Tb Si N
2 4 2 8
Direct
0.0882 0.9118 0.7500 Ba
0.9118 0.0882 0.2500 Ba
0.3680 0.6320 0.5403 Tb
0.3680 0.6320 0.9597 Tb
0.6320 0.3680 0.0403 Tb
0.6320 0.3680 0.4597 Tb
0.1863 0.8137 0.2500 Si
0.8137 0.1863 0.7500 Si
0.0000 0.0000 0.0000 N
0.0000 0.0000 0.5000 N
0.2571 0.7429 0.1229 N
0.2571 0.7429 0.3771 N
0.3907 0.6093 0.7500 N
0.6093 0.3907 0.2500 N
0.7429 0.2571 0.6229 N
0.7429 0.2571 0.8771 N
```

Calculated values
calculated total energy	-120.3	eV for the cell shown
total magnetic moment	0.00	μB per cell
V	15.373	Å³/atom
symmetry	Cmcm, No. 63

Entry 7:
This record from the Alexandria database describes BaSiTe2N after structural relaxation. The functional is PBE-GGA.

Geometry as POSCAR:
```
BaSiTe2N
1.0
6.4949 0.0000 0.0000
0.0000 6.4949 0.0000
0.0000 0.0000 4.3807
Ba Si Te N
1 1 2 1
Direct
0.0000 0.0000 0.0000 Ba
0.5000 0.5000 0.5000 Si
0.0000 0.5000 0.0000 Te
0.5000 0.0000 0.0000 Te
0.0000 0.0000 0.5000 N
```

Calculated values
calculated total energy	-15.5	eV for the cell shown
total magnetic moment	1.34	μB per cell
V	36.958	Å³/atom
symmetry	P4/mmm, No. 123

Entry 8:
This record from the Alexandria database describes BaSiTeN2 after structural relaxation. The functional is PBE-GGA.

Geometry as POSCAR:
```
BaSiTeN2
1.0
4.4054 0.0000 0.0000
0.0000 4.4054 0.0000
0.0000 0.0000 7.1206
Ba Si Te N
1 1 1 2
Direct
0.0000 0.0000 0.0000 Ba
0.5000 0.5000 0.5000 Si
0.0000 0.0000 0.5000 Te
0.0000 0.5000 0.0000 N
0.5000 0.0000 0.0000 N
```

Calculated values
calculated total energy	-18.2	eV for the cell shown
total magnetic moment	0.14	μB per cell
V	27.639	Å³/atom
symmetry	P4/mmm, No. 123